# U3As3S

A geometry-optimized U3As3S structure (PBE, Alexandria via LeMat-Bulk).

Structure (POSCAR):
```
U3As3S
1.0
-5.9149 -1.0602 -3.9230
4.6035 -5.5042 0.1020
-3.3282 -2.5685 5.8615
U S As
6 2 6
direct
0.1455 0.4882 0.2857 U
0.5118 0.8545 0.7143 U
0.0627 0.0627 0.7855 U
0.4882 0.1455 0.2857 U
0.9373 0.9373 0.2145 U
0.8545 0.5118 0.7143 U
0.7180 0.7180 0.9301 S
0.2820 0.2820 0.0699 S
0.7900 0.2100 0.0000 As
0.8350 0.1650 0.5000 As
0.1650 0.8350 0.5000 As
0.2100 0.7900 0.0000 As
0.3901 0.3901 0.6150 As
0.6099 0.6099 0.3850 As
```

Properties
Uncorrected formation energy ... -4.6 eV/f.u.
Fermi-level density of states ... 1.724 states/eV per atom
E_tot ... -8.0745 eV per atom
Size of the total moment ... 8.0 μB/f.u.

---

# Ca2AgPt

A geometry-optimized Ca2AgPt structure (PBE, Alexandria via LeMat-Bulk).

Structure (POSCAR):
```
Ca2AgPt
1.0
5.9549 -0.0204 -0.0133
4.0757 4.3417 -0.0133
4.0757 1.7558 3.9708
Ag Ca Pt
1 2 1
direct
0.8090 0.8090 0.8090 Ag
0.0289 0.0289 0.0289 Ca
0.2313 0.2313 0.2313 Ca
0.4308 0.4308 0.4308 Pt
```

Properties
Fermi-level density of states ... 0.340 states/eV per atom
Energy of formation from the pure elements ... -446 meV/atom
E_tot ... -3.6693 eV per atom
Size of the total moment ... 0.0 μB/f.u.

---

# CsTaPO2

A geometry-optimized CsTaPO2 structure (PBE, Alexandria via LeMat-Bulk).

Structure (POSCAR):
```
CsTaPO2
1.0
4.0500 0.0000 0.0000
0.0000 4.0500 0.0000
0.0000 0.0000 7.3907
Ta Cs O P
1 1 2 1
direct
0.5000 0.5000 0.5000 Ta
0.0000 0.0000 0.0000 Cs
0.5000 0.0000 0.0000 O
0.0000 0.5000 0.0000 O
0.0000 0.0000 0.5000 P
```

Properties
Uncorrected formation energy ... 6.1 eV/f.u.
Fermi-level density of states ... 0.813 states/eV per atom
E_tot ... -4.3870 eV per atom
Size of the total moment ... 1.7 μB/f.u.

---

# Ac2PuCrN5

A geometry-optimized Ac2PuCrN5 structure (PBE, Alexandria via LeMat-Bulk).

Structure (POSCAR):
```
Ac2PuCrN5
1.0
3.5664 0.0000 0.0000
-1.7832 7.3164 0.0000
0.0000 0.0000 10.9801
N Pu Ac Cr
10 2 4 2
direct
0.9697 0.9394 0.4985 N
0.6665 0.3329 0.8970 N
0.4930 0.9860 0.7881 N
0.3335 0.6671 0.3970 N
0.3382 0.6765 0.0103 N
0.6618 0.3235 0.5103 N
0.2898 0.5796 0.6609 N
0.7102 0.4204 0.1609 N
0.0303 0.0606 0.9985 N
0.5070 0.0140 0.2881 N
0.1934 0.3867 0.0320 Pu
0.8066 0.6133 0.5320 Pu
0.1101 0.2203 0.6757 Ac
0.8899 0.7797 0.1757 Ac
0.1398 0.2795 0.3308 Ac
0.8602 0.7205 0.8308 Ac
0.4566 0.9133 0.4306 Cr
0.5434 0.0867 0.9306 Cr
```

Properties
Uncorrected formation energy ... -8.9 eV/f.u.
Fermi-level density of states ... 0.841 states/eV per atom
E_tot ... -9.1861 eV per atom
Size of the total moment ... 5.0 μB/f.u.

---

# RbMgAl2Br8

A geometry-optimized RbMgAl2Br8 structure (PBE, Alexandria via LeMat-Bulk).

Structure (POSCAR):
```
RbMgAl2Br8
1.0
-4.0029 2.1130 5.3626
0.9328 -2.7707 6.3795
5.7811 7.1136 6.1039
Rb Br Mg Al
1 8 1 2
direct
0.5000 0.5000 0.5000 Rb
0.4197 0.7106 0.8183 Br
0.7106 0.0514 0.8183 Br
0.8273 0.8273 0.5181 Br
0.0514 0.4197 0.8183 Br
0.9486 0.5803 0.1817 Br
0.1727 0.1727 0.4819 Br
0.5803 0.2894 0.1817 Br
0.2894 0.9486 0.1817 Br
0.0000 0.0000 0.0000 Mg
0.7516 0.7516 0.7451 Al
0.2484 0.2484 0.2549 Al
```

Properties
Uncorrected formation energy ... -13.8 eV/f.u.
Fermi-level density of states ... 0.260 states/eV per atom
E_tot ... -3.0998 eV per atom
Size of the total moment ... 1.0 μB/f.u.

---

# Li3Tb3PaS8

A geometry-optimized Li3Tb3PaS8 structure (PBE, Alexandria via LeMat-Bulk).

Structure (POSCAR):
```
Li3Tb3PaS8
1.0
7.9313 0.0000 0.0000
-3.9657 6.8674 -0.0251
0.0000 -4.5602 6.1820
Pa Li Tb S
1 3 3 8
direct
0.0000 0.0000 0.5000 Pa
0.5000 0.5000 0.0000 Li
0.0000 0.0000 0.0000 Li
0.0000 0.5000 0.0000 Li
0.0000 0.5000 0.5000 Tb
0.5000 0.5000 0.5000 Tb
0.5000 0.0000 0.5000 Tb
0.7503 0.5007 0.7507 S
0.7549 0.5099 0.2545 S
0.2444 0.9993 0.2545 S
0.7556 0.0007 0.7455 S
0.2451 0.4901 0.7455 S
0.7549 0.9993 0.2545 S
0.2451 0.0007 0.7455 S
0.2497 0.4993 0.2493 S
```

Properties
Uncorrected formation energy ... -26.6 eV/f.u.
Fermi-level density of states ... 0.353 states/eV per atom
E_tot ... -5.9142 eV per atom
Size of the total moment ... 1.0 μB/f.u.

---

# Ho2Sc3Co2

A geometry-optimized Ho2Sc3Co2 structure (PBE, Alexandria via LeMat-Bulk).

Structure (POSCAR):
```
Ho2Sc3Co2
1.0
-0.6992 -3.3353 0.7598
2.1634 0.1106 -5.5456
5.7834 0.1868 6.1419
Sc Ho Co
3 2 2
direct
0.3778 0.7556 0.5703 Sc
0.6222 0.2444 0.4297 Sc
0.5000 0.0000 0.0000 Sc
0.1629 0.3258 0.7994 Ho
0.8371 0.6742 0.2006 Ho
0.8320 0.6641 0.7630 Co
0.1680 0.3359 0.2370 Co
```

Properties
Fermi-level density of states ... 1.082 states/eV per atom
Energy of formation from the pure elements ... -211 meV/atom
Excess energy over the best structure of this formula in the dataset ... 0 meV/atom
E_tot ... -6.2629 eV per atom
Size of the total moment ... 0.0 μB/f.u.

---

# TaAlTe2

A geometry-optimized TaAlTe2 structure (PBE, Alexandria via LeMat-Bulk).

Structure (POSCAR):
```
TaAlTe2
1.0
-2.2492 -3.6716 -6.4947
3.0417 -1.5664 3.6023
-1.9567 -2.8012 0.4522
Al Te Ta
1 2 1
direct
0.0000 0.5000 0.5000 Al
0.0000 0.0000 0.0000 Te
0.5000 0.0000 0.5000 Te
0.5000 0.5000 0.0000 Ta
```

Properties
Uncorrected formation energy ... 1.4 eV/f.u.
Fermi-level density of states ... 0.706 states/eV per atom
E_tot ... -5.1115 eV per atom
Size of the total moment ... 0.0 μB/f.u.

---

# SrLiTlHg

A geometry-optimized SrLiTlHg structure (PBE, Alexandria via LeMat-Bulk).

Structure (POSCAR):
```
SrLiTlHg
1.0
5.3641 0.0000 0.0000
2.6821 4.6455 0.0000
2.6821 1.5485 4.3798
Hg Sr Tl Li
1 1 1 1
direct
0.7500 0.7500 0.7500 Hg
0.5000 0.5000 0.5000 Sr
0.2500 0.2500 0.2500 Tl
0.0000 0.0000 0.0000 Li
```

Properties
Fermi-level density of states ... 0.458 states/eV per atom
Energy of formation from the pure elements ... -322 meV/atom
Excess energy over the best structure of this formula in the dataset ... 25 meV/atom
E_tot ... -1.8875 eV per atom
Size of the total moment ... 0.0 μB/f.u.

---

# MgAsRh3

A geometry-optimized MgAsRh3 structure (PBE, Alexandria via LeMat-Bulk).

Structure (POSCAR):
```
MgAsRh3
1.0
-1.9654 4.0195 0.5035
-1.0575 -1.0493 4.2489
3.9105 1.7364 1.4021
As Rh Mg
1 3 1
direct
0.5000 0.5000 0.5000 As
0.0000 0.0000 0.5000 Rh
0.0000 0.5000 0.0000 Rh
0.5000 0.0000 0.0000 Rh
0.0000 0.0000 0.0000 Mg
```

Properties
Fermi-level density of states ... 1.398 states/eV per atom
Energy of formation from the pure elements ... 1056 meV/atom
Excess energy over the best structure of this formula in the dataset ... 1027 meV/atom
E_tot ... -4.6034 eV per atom
Size of the total moment ... 0.8 μB/f.u.

---

# TlP2CO

A geometry-optimized TlP2CO structure (PBE, Alexandria via LeMat-Bulk).

Structure (POSCAR):
```
TlP2CO
1.0
4.0566 0.0000 0.0000
0.0000 4.0566 0.0000
0.0000 0.0000 4.2352
Tl P O C
1 2 1 1
direct
0.5000 0.5000 0.5000 Tl
0.0000 0.5000 0.0000 P
0.5000 0.0000 0.0000 P
0.0000 0.0000 0.5000 O
0.0000 0.0000 0.0000 C
```

Properties
Uncorrected formation energy ... 5.5 eV/f.u.
Fermi-level density of states ... 0.642 states/eV per atom
Excess energy over the best structure of this formula in the dataset ... 0 meV/atom
E_tot ... -4.3658 eV per atom
Size of the total moment ... 0.4 μB/f.u.

---

# Mg4BiSbN

A geometry-optimized Mg4BiSbN structure (PBE, Alexandria via LeMat-Bulk).

Structure (POSCAR):
```
Mg4BiSbN
1.0
6.1813 0.0000 0.0000
0.0000 6.1655 0.0000
-3.0906 0.0000 7.4838
Sb Mg Bi N
2 8 2 2
direct
0.0975 0.2500 0.1950 Sb
0.9025 0.7500 0.8050 Sb
0.3918 0.7500 0.7837 Mg
0.0000 0.5000 0.5000 Mg
0.5000 0.0000 0.5000 Mg
0.5000 0.5000 0.5000 Mg
0.6082 0.2500 0.2163 Mg
0.0000 0.0000 0.5000 Mg
0.8969 0.2500 0.7938 Mg
0.1031 0.7500 0.2062 Mg
0.5912 0.7500 0.1825 Bi
0.4088 0.2500 0.8175 Bi
0.7514 0.2500 0.5029 N
0.2486 0.7500 0.4971 N
```

Properties
Uncorrected formation energy ... -2.9 eV/f.u.
Fermi-level density of states ... 0.420 states/eV per atom
E_tot ... -3.6632 eV per atom
Size of the total moment ... 0.0 μB/f.u.

---

# Ti3MnNi2

A geometry-optimized Ti3MnNi2 structure (PBE, Alexandria via LeMat-Bulk).

Structure (POSCAR):
```
Ti3MnNi2
1.0
-2.8595 -0.7790 -0.2392
0.3289 -1.9016 2.2620
-2.2905 6.6015 5.8828
Ti Ni Mn
3 2 1
direct
0.0000 0.0000 0.6574 Ti
0.0000 0.0000 0.0000 Ti
0.0000 0.0000 0.3426 Ti
0.5000 0.5000 0.8288 Ni
0.5000 0.5000 0.1712 Ni
0.5000 0.5000 0.5000 Mn
```

Properties
Fermi-level density of states ... 1.042 states/eV per atom
Energy of formation from the pure elements ... -362 meV/atom
E_tot ... -7.7647 eV per atom
Size of the total moment ... 0.0 μB/f.u.

---

# NaDyCd2

A geometry-optimized NaDyCd2 structure (PBE, Alexandria via LeMat-Bulk).

Structure (POSCAR):
```
NaDyCd2
1.0
5.2193 0.0000 0.0000
2.6096 4.5200 0.0000
2.6096 1.5067 4.2615
Cd Na Dy
2 1 1
direct
0.2500 0.2500 0.2500 Cd
0.7500 0.7500 0.7500 Cd
0.5000 0.5000 0.5000 Na
0.0000 0.0000 0.0000 Dy
```

Properties
Fermi-level density of states ... 0.692 states/eV per atom
Energy of formation from the pure elements ... -141 meV/atom
Excess energy over the best structure of this formula in the dataset ... 38 meV/atom
E_tot ... -2.0792 eV per atom
Size of the total moment ... 0.0 μB/f.u.

---

# RbPH2C

A geometry-optimized RbPH2C structure (PBE, Alexandria via LeMat-Bulk).

Structure (POSCAR):
```
RbPH2C
1.0
-0.4379 0.0641 -4.1717
-3.4156 -0.1988 0.3555
-0.2344 4.1876 0.0890
P Rb C H
1 1 1 2
direct
0.0000 0.0000 0.0000 P
0.5000 0.5000 0.5000 Rb
0.0000 0.5000 0.0000 C
0.0000 0.0000 0.5000 H
0.5000 0.0000 0.0000 H
```

Properties
Fermi-level density of states ... 0.192 states/eV per atom
E_tot ... -3.6854 eV per atom
Size of the total moment ... 0.0 μB/f.u.

---

# Ga3Te

A geometry-optimized Ga3Te structure (PBE, Alexandria via LeMat-Bulk).

Structure (POSCAR):
```
Ga3Te
1.0
5.8462 -0.0007 0.0000
2.6117 5.2303 0.0000
-4.2289 -2.6148 3.0751
Ga Te
3 1
direct
0.2500 0.7500 0.5000 Ga
0.5000 0.5000 0.0000 Ga
0.7500 0.2500 0.5000 Ga
0.0000 0.0000 0.0000 Te
```

Properties
Uncorrected formation energy ... 0.1 eV/f.u.
Fermi-level density of states ... 0.317 states/eV per atom
Excess energy over the best structure of this formula in the dataset ... 0 meV/atom
E_tot ... -3.0398 eV per atom
Size of the total moment ... 0.0 μB/f.u.

---

# TbGeAu

A geometry-optimized TbGeAu structure (PBE, Alexandria via LeMat-Bulk).

Structure (POSCAR):
```
TbGeAu
1.0
-0.4029 -4.3545 -0.9912
4.0456 1.7443 0.8350
-0.8068 -1.5539 7.1548
Ge Tb Au
2 2 2
direct
0.6667 0.3333 0.7101 Ge
0.3333 0.6667 0.2101 Ge
0.0000 0.0000 0.5019 Tb
0.0000 0.0000 0.0019 Tb
0.6667 0.3333 0.2888 Au
0.3333 0.6667 0.7888 Au
```

Properties
Fermi-level density of states ... 0.101 states/eV per atom
Energy of formation from the pure elements ... -838 meV/atom
E_tot ... -5.0133 eV per atom
Size of the total moment ... 0.0 μB/f.u.

---

# Sn2BiSb2

A geometry-optimized Sn2BiSb2 structure (PBE, Alexandria via LeMat-Bulk).

Structure (POSCAR):
```
Sn2BiSb2
1.0
8.6565 0.0000 0.0000
0.0000 8.6565 0.0000
0.0000 0.0000 3.8690
Sb Sn Bi
4 4 2
direct
0.6539 0.8461 0.5000 Sb
0.3461 0.1539 0.5000 Sb
0.1539 0.6539 0.5000 Sb
0.8461 0.3461 0.5000 Sb
0.3545 0.8545 0.0000 Sn
0.6455 0.1455 0.0000 Sn
0.8545 0.6455 0.0000 Sn
0.1455 0.3545 0.0000 Sn
0.5000 0.5000 0.0000 Bi
0.0000 0.0000 0.0000 Bi
```

Properties
Uncorrected formation energy ... 0.9 eV/f.u.
Fermi-level density of states ... 0.755 states/eV per atom
Excess energy over the best structure of this formula in the dataset ... 156 meV/atom
E_tot ... -3.8426 eV per atom
Size of the total moment ... 0.0 μB/f.u.

---

# Ni2PCl

A geometry-optimized Ni2PCl structure (PBE, Alexandria via LeMat-Bulk).

Structure (POSCAR):
```
Ni2PCl
1.0
2.7934 0.0000 0.0000
0.0000 6.8576 0.0000
0.0000 0.0000 3.5584
Cl Ni P
1 2 1
direct
0.0000 0.5000 0.5000 Cl
0.5000 0.5000 0.0000 Ni
0.0000 0.0000 0.0000 Ni
0.5000 0.0000 0.5000 P
```

Properties
Uncorrected formation energy ... 0.9 eV/f.u.
Fermi-level density of states ... 0.992 states/eV per atom
Excess energy over the best structure of this formula in the dataset ... 553 meV/atom
E_tot ... -4.4718 eV per atom
Size of the total moment ... 0.3 μB/f.u.

---

# LuZnHgPd

A geometry-optimized LuZnHgPd structure (PBE, Alexandria via LeMat-Bulk).

Structure (POSCAR):
```
LuZnHgPd
1.0
4.7718 0.0000 0.0000
2.3859 4.1325 0.0000
2.3859 1.3775 3.8962
Lu Zn Pd Hg
1 1 1 1
direct
0.5000 0.5000 0.5000 Lu
0.0000 0.0000 0.0000 Zn
0.2500 0.2500 0.2500 Pd
0.7500 0.7500 0.7500 Hg
```

Properties
Fermi-level density of states ... 0.483 states/eV per atom
Energy of formation from the pure elements ... -478 meV/atom
E_tot ... -3.3004 eV per atom
Size of the total moment ... 0.0 μB/f.u.

---

# SrTl2Zn

A geometry-optimized SrTl2Zn structure (PBE, Alexandria via LeMat-Bulk).

Structure (POSCAR):
```
SrTl2Zn
1.0
4.0026 0.0000 0.0000
0.0000 4.0027 0.0000
0.0000 0.0000 7.2981
Tl Zn Sr
2 1 1
direct
0.5000 0.5000 0.2712 Tl
0.0000 0.0000 0.0258 Tl
0.0000 0.0000 0.4669 Zn
0.5000 0.5000 0.7361 Sr
```

Properties
Fermi-level density of states ... 0.623 states/eV per atom
Energy of formation from the pure elements ... -126 meV/atom
E_tot ... -2.0482 eV per atom
Size of the total moment ... 0.0 μB/f.u.

---

# Rb3ZrCr2Te6

A geometry-optimized Rb3ZrCr2Te6 structure (PBE, Alexandria via LeMat-Bulk).

Structure (POSCAR):
```
Rb3ZrCr2Te6
1.0
-3.2086 6.5511 1.1679
-4.0895 -6.1521 -0.0590
3.6384 -1.0126 7.8726
Cr Te Rb Zr
2 6 3 1
direct
0.6670 0.3330 0.0000 Cr
0.3330 0.6670 0.0000 Cr
0.5958 0.9400 0.8204 Te
0.4042 0.0600 0.1796 Te
0.2850 0.2850 0.8219 Te
0.0600 0.4042 0.1796 Te
0.9400 0.5958 0.8204 Te
0.7150 0.7150 0.1781 Te
0.8369 0.1631 0.5000 Rb
0.5000 0.5000 0.5000 Rb
0.1631 0.8369 0.5000 Rb
0.0000 0.0000 0.0000 Zr
```

Properties
Uncorrected formation energy ... -7.8 eV/f.u.
Fermi-level density of states ... 0.476 states/eV per atom
E_tot ... -4.7811 eV per atom
Size of the total moment ... 7.0 μB/f.u.

---

# AcIn3Au

A geometry-optimized AcIn3Au structure (PBE, Alexandria via LeMat-Bulk).

Structure (POSCAR):
```
AcIn3Au
1.0
4.4311 -0.0069 1.5357
-0.5344 4.3968 1.5387
0.0692 0.0713 6.9993
In Au Ac
3 1 1
direct
0.7958 0.5993 0.1120 In
0.6464 0.9478 0.4145 In
0.1442 0.4498 0.4144 In
0.0160 0.8195 0.6745 Au
0.4053 0.2088 0.8958 Ac
```

Properties
Fermi-level density of states ... 0.328 states/eV per atom
Energy of formation from the pure elements ... -494 meV/atom
Excess energy over the best structure of this formula in the dataset ... 0 meV/atom
E_tot ... -3.6142 eV per atom
Size of the total moment ... 0.0 μB/f.u.

---

# DyPuFeCo

A geometry-optimized DyPuFeCo structure (PBE, Alexandria via LeMat-Bulk).

Structure (POSCAR):
```
DyPuFeCo
1.0
-0.1811 -2.0503 4.2334
0.2632 -4.6862 0.3588
3.8535 -2.0093 1.8088
Fe Co Pu Dy
1 1 1 1
direct
0.7500 0.7500 0.7500 Fe
0.2500 0.2500 0.2500 Co
0.0000 0.0000 0.0000 Pu
0.5000 0.5000 0.5000 Dy
```

Properties
Fermi-level density of states ... 1.472 states/eV per atom
Energy of formation from the pure elements ... 29 meV/atom
E_tot ... -8.5969 eV per atom
Size of the total moment ... 3.0 μB/f.u.

---

# Zr2CdHIr

A geometry-optimized Zr2CdHIr structure (PBE, Alexandria via LeMat-Bulk).

Structure (POSCAR):
```
Zr2CdHIr
1.0
-1.2339 0.5758 -4.3714
-1.7375 -4.2355 -0.0675
-3.4100 1.3806 1.1444
Zr Cd H Ir
2 1 1 1
direct
0.5000 0.0000 0.0000 Zr
0.0000 0.5000 0.0000 Zr
0.5000 0.5000 0.5000 Cd
0.0000 0.0000 0.0000 H
0.0000 0.0000 0.5000 Ir
```

Properties
Fermi-level density of states ... 0.849 states/eV per atom
E_tot ... -6.3847 eV per atom
Size of the total moment ... 0.0 μB/f.u.